[1]
Here is a relaxed structure of Sr2Co2Pt from the Alexandria database. Energies are from PBE.

abc: 6.759 6.759 4.624
angles: 90.00 90.00 90.00
Each line ends with the local moment (μB).
Sites, in units of the cell vectors:
Co 0.383 0.883 0.000  1.36
Co 0.117 0.383 0.000  1.27
Co 0.883 0.617 0.000  1.27
Co 0.617 0.117 0.000  1.36
Sr 0.813 0.313 0.500  -0.06
Sr 0.187 0.687 0.500  -0.06
Sr 0.687 0.813 0.500  -0.07
Sr 0.313 0.187 0.500  -0.07
Pt 0.000 0.000 0.000  0.10
Pt 0.500 0.500 0.000  0.10

Output
E_form in eV per atom: 0.04
DFT total energy in eV per cell: -46.82
Space-group type: P4/mbm

---

[2]
Here is a relaxed structure of SrCo2Pt from the Alexandria database. Energies are from PBE.

abc: 5.310 5.337 2.849
angles: 78.99 81.21 117.17
Each line ends with the local moment (μB).
Sites, in units of the cell vectors:
Co 0.500 0.000 0.500  1.66
Co 0.000 0.000 0.000  1.66
Sr 0.500 0.500 0.000  -0.10
Pt 0.000 0.500 0.500  0.15

Output
E_form in eV per atom: 0.50
DFT total energy in eV per cell: -19.95
Space-group type: C2/m

---

[3]
Here is a relaxed structure of SrCo2Pt from the Alexandria database. Energies are from PBE.

abc: 4.529 4.529 9.331
angles: 75.96 75.96 90.00
Each line ends with the local moment (μB).
Sites, in units of the cell vectors:
Sr 0.250 0.750 0.500  -0.04
Sr 0.500 0.500 0.000  -0.04
Pt 0.000 0.000 0.000  0.27
Pt 0.750 0.250 0.500  0.27
Co 0.875 0.124 0.750  1.67
Co 0.874 0.125 0.250  1.94
Co 0.876 0.625 0.250  1.97
Co 0.375 0.126 0.750  1.64

Output
E_form in eV per atom: 0.15
DFT total energy in eV per cell: -42.66
Space-group type: I-42d

---

[4]
Here is a relaxed structure of SrCo2Pt from the Alexandria database. Energies are from PBE.

abc: 4.660 4.660 4.660
angles: 60.00 60.00 60.00
Each line ends with the local moment (μB).
Sites, in units of the cell vectors:
Sr 0.750 0.750 0.750  -0.03
Co 0.000 0.000 0.000  1.75
Co 0.250 0.250 0.250  1.97
Pt 0.500 0.500 0.500  0.14

Output
E_form in eV per atom: 0.47
DFT total energy in eV per cell: -20.06
Space-group type: F-43m

---

[5]
Here is a relaxed structure of SrCo2Pt from the Alexandria database. Energies are from PBE.

abc: 4.268 4.268 5.772
angles: 68.33 68.33 59.97
Each line ends with the local moment (μB).
Sites, in units of the cell vectors:
Co 0.065 0.065 0.805  1.57
Co 0.435 0.435 0.695  1.57
Sr 0.250 0.250 0.250  -0.06
Pt 0.750 0.750 0.750  0.29

Output
E_form in eV per atom: -0.12
DFT total energy in eV per cell: -22.42
Space-group type: R-3m

---

[6]
Here is a relaxed structure of SrCo2Pt from the Alexandria database. Energies are from PBE.

abc: 3.324 3.324 6.715
angles: 90.00 90.00 90.00
Each line ends with the local moment (μB).
Sites, in units of the cell vectors:
Sr 0.500 0.500 0.750  -0.09
Co 0.000 0.000 0.420  1.72
Co 0.000 0.000 0.080  1.72
Pt 0.500 0.500 0.250  0.29

Output
E_form in eV per atom: 0.33
DFT total energy in eV per cell: -20.63
Space-group type: P4/mmm

---

[7]
Here is a relaxed structure of SrCo2Pt from the Alexandria database. Energies are from PBE.

abc: 4.308 4.478 4.625
angles: 89.94 90.00 90.00
Each line ends with the local moment (μB).
Sites, in units of the cell vectors:
Co 0.000 0.512 0.250  1.50
Co 0.000 0.988 0.250  1.50
Pt 0.500 0.250 0.250  0.18
Sr 0.500 0.750 0.750  -0.04

Output
E_form in eV per atom: 0.15
DFT total energy in eV per cell: -21.35
Space-group type: Pmmm

---

[8]
Here is a relaxed structure of SrCoTc2Pt from the Alexandria database. Energies are from PBE.

abc: 4.752 5.033 4.752
angles: 90.00 90.00 90.00
Each line ends with the local moment (μB).
Sites, in units of the cell vectors:
Sr 0.000 0.000 0.000  0.00
Co 0.500 0.500 0.500  0.09
Pt 0.000 0.500 0.000  0.07
Tc 0.500 0.000 0.000  0.29
Tc 0.000 0.000 0.500  0.27

Output
E_form in eV per atom: 3.04
DFT total energy in eV per cell: -20.34
Space-group type: P4/mmm

---

[9]
Here is a relaxed structure of SrYCo2Pt from the Alexandria database. Energies are from PBE.

abc: 4.512 5.604 4.512
angles: 90.00 90.00 90.00
Each line ends with the local moment (μB).
Sites, in units of the cell vectors:
Y 0.000 0.500 0.000  -0.08
Pt 0.500 0.500 0.500  0.07
Sr 0.000 0.000 0.000  -0.12
Co 0.500 0.000 0.000  1.25
Co 0.000 0.000 0.500  1.17

Output
E_form in eV per atom: 1.69
DFT total energy in eV per cell: -19.95
Space-group type: P4/mmm

---

[10]
Here is a relaxed structure of SrYCoPt2 from the Alexandria database. Energies are from PBE.

abc: 5.256 4.575 5.256
angles: 90.00 90.00 90.00
Each line ends with the local moment (μB).
Sites, in units of the cell vectors:
Co 0.000 0.500 0.000  1.31
Pt 0.500 0.000 0.000  0.03
Pt 0.000 0.000 0.500  0.01
Y 0.500 0.500 0.500  -0.03
Sr 0.000 0.000 0.000  -0.02

Output
E_form in eV per atom: 0.84
DFT total energy in eV per cell: -23.13
Space-group type: P4/mmm

---

[11]
Here is a relaxed structure of Sr2YCoPt from the Alexandria database. Energies are from PBE.

abc: 5.818 4.793 5.818
angles: 90.00 90.00 90.00
Each line ends with the local moment (μB).
Sites, in units of the cell vectors:
Pt 0.000 0.000 0.000  0.17
Y 0.500 0.500 0.500  -0.03
Sr 0.500 0.000 0.000  -0.02
Sr 0.000 0.000 0.500  -0.01
Co 0.000 0.500 0.000  1.80

Output
E_form in eV per atom: 0.27
DFT total energy in eV per cell: -21.63
Space-group type: P4/mmm

---

[12]
Here is a relaxed structure of TaCo4Pt from the Alexandria database. Energies are from PBE.

abc: 4.740 4.740 4.740
angles: 60.00 60.00 60.00
Each line ends with the local moment (μB).
Sites, in units of the cell vectors:
Co 0.376 0.376 0.873  1.33
Co 0.873 0.376 0.376  1.33
Co 0.376 0.873 0.376  1.33
Co 0.376 0.376 0.376  1.33
Ta 0.000 0.000 0.000  -0.33
Pt 0.750 0.750 0.750  0.17

Output
E_form in eV per atom: -0.24
DFT total energy in eV per cell: -47.76
Space-group type: F-43m

---

[13]
Here is a relaxed structure of TaCo2Pt from the Alexandria database. Energies are from PBE.

abc: 4.242 4.242 4.242
angles: 60.00 60.00 60.00
Each line ends with the local moment (μB).
Sites, in units of the cell vectors:
Co 0.250 0.250 0.250  0.49
Co 0.750 0.750 0.750  0.49
Pt 0.500 0.500 0.500  0.00
Ta 0.000 0.000 0.000  -0.18

Output
E_form in eV per atom: -0.21
DFT total energy in eV per cell: -32.93
Space-group type: Fm-3m

---

[14]
Here is a relaxed structure of TaCo2Pt from the Alexandria database. Energies are from PBE.

abc: 4.309 4.309 4.309
angles: 60.00 60.00 60.00
Each line ends with the local moment (μB).
Sites, in units of the cell vectors:
Ta 0.750 0.750 0.750  -0.15
Pt 0.500 0.500 0.500  0.01
Co 0.000 0.000 0.000  1.18
Co 0.250 0.250 0.250  1.46

Output
E_form in eV per atom: -0.10
DFT total energy in eV per cell: -32.50
Space-group type: F-43m

---

[15]
Here is a relaxed structure of Ta3CoPt from the Alexandria database. Energies are from PBE.

abc: 4.520 4.520 4.520
angles: 90.00 90.00 90.00
Sites, in units of the cell vectors:
Co 0.000 0.000 0.000
Ta 0.500 0.000 0.000
Ta 0.000 0.500 0.000
Ta 0.000 0.000 0.500
Pt 0.500 0.500 0.500

Output
E_form in eV per atom: 0.54
DFT total energy in eV per cell: -45.99
Space-group type: Pm-3m

---

[16]
Here is a relaxed structure of TaCo2Pt from the Alexandria database. Energies are from PBE.

abc: 3.171 3.171 5.467
angles: 90.00 90.00 90.00
Each line ends with the local moment (μB).
Sites, in units of the cell vectors:
Ta 0.500 0.500 0.750  -0.17
Pt 0.500 0.500 0.250  0.10
Co 0.000 0.000 0.991  0.67
Co 0.000 0.000 0.509  0.67

Output
E_form in eV per atom: -0.18
DFT total energy in eV per cell: -32.82
Space-group type: P4/mmm

---

[17]
Here is a relaxed structure of TaCo2Pt from the Alexandria database. Energies are from PBE.

abc: 4.567 4.567 4.567
angles: 130.32 130.29 72.92
Each line ends with the local moment (μB).
Sites, in units of the cell vectors:
Co 0.000 0.000 0.000  0.80
Co 0.500 0.500 0.000  0.80
Pt 0.250 0.750 0.500  0.12
Ta 0.750 0.250 0.500  -0.22

Output
E_form in eV per atom: -0.34
DFT total energy in eV per cell: -33.45
Space-group type: I4/mmm

---

[18]
Here is a relaxed structure of TaCo2Pt from the Alexandria database. Energies are from PBE.

abc: 2.789 2.789 7.124
angles: 90.00 90.00 90.00
Each line ends with the local moment (μB).
Sites, in units of the cell vectors:
Co 0.000 0.000 0.028  1.36
Co 0.500 0.500 0.224  1.86
Ta 0.500 0.500 0.768  -0.03
Pt 0.000 0.000 0.481  0.13

Output
E_form in eV per atom: -0.19
DFT total energy in eV per cell: -32.85
Space-group type: P4mm

---

[19]
Here is a relaxed structure of Ta2Co3Pt3 from the Alexandria database. Energies are from PBE.

abc: 3.883 3.858 7.488
angles: 90.00 90.00 90.00
Each line ends with the local moment (μB).
Sites, in units of the cell vectors:
Co 0.500 0.000 0.500  0.25
Co 0.000 0.500 0.500  0.24
Co 0.000 0.500 0.000  0.41
Ta 0.000 0.000 0.735  -0.09
Ta 0.000 0.000 0.265  -0.09
Pt 0.500 0.000 0.000  0.02
Pt 0.500 0.500 0.259  0.02
Pt 0.500 0.500 0.741  0.02

Output
E_form in eV per atom: -0.50
DFT total energy in eV per cell: -67.12
Space-group type: Pmmm

---

[20]
Here is a relaxed structure of Ta4CoPt from the Alexandria database. Energies are from PBE.

abc: 5.094 6.278 6.278
angles: 90.00 90.00 90.00
Sites, in units of the cell vectors:
Ta 0.500 0.169 0.354
Ta 0.000 0.169 0.646
Ta 0.000 0.646 0.831
Ta 0.500 0.646 0.169
Ta 0.500 0.354 0.831
Ta 0.000 0.831 0.354
Ta 0.500 0.831 0.646
Ta 0.000 0.354 0.169
Co 0.750 0.500 0.500
Co 0.250 0.500 0.500
Pt 0.250 0.000 0.000
Pt 0.750 0.000 0.000

Output
E_form in eV per atom: -0.34
DFT total energy in eV per cell: -125.18
Space-group type: P4/mcc